Entry 1:
This record from Alexandria describes HfZrH2 after structural relaxation. The functional is PBE-GGA.

Results
Relative energy among the computed polymorphs   0.0 meV/atom
Raw total energy   -6.64 eV/atom

abc: 5.785 3.307 5.809
angles: 90.00 110.43 90.00
Space group Cm (No. 8)
One atom of each set of equivalent atoms:
Hf: 0.000 0.000 0.000 x2
Zr: 0.001 0.500 0.500 x2
H: 0.374 0.000 0.121 x2
H: 0.378 0.500 0.631 x2



Entry 2:
This record from Alexandria describes LiSb2Pt after structural relaxation. The functional is PBE-GGA.

Results
Relative energy among the computed polymorphs   269.3 meV/atom
Raw total energy   -4.32 eV/atom

abc: 6.880 6.880 6.880
angles: 90.00 90.00 90.00
Space group Fm-3m (No. 225)
One atom of each set of equivalent atoms:
Li: 0.000 0.000 0.000 x4
Sb: 0.250 0.250 0.250 x8
Pt: 0.000 0.000 0.500 x4



Entry 3:
This record from Alexandria describes NaCu2PdCl8 after structural relaxation. The functional is PBE-GGA.

Results
Raw total energy   -3.07 eV/atom

abc: 6.040 6.484 7.100
angles: 89.97 89.94 83.98
Space group P-1 (No. 2)
One atom of each set of equivalent atoms:
Na: 0.000 0.000 0.000 x1
Cu: 0.499 0.500 0.250 x2
Pd: 0.000 0.000 0.500 x1
Cl: 0.209 0.162 0.724 x2
Cl: 0.210 0.162 0.275 x2
Cl: 0.281 0.629 0.000 x2
Cl: 0.299 0.663 0.500 x2



Entry 4:
This record from Alexandria describes ZrHg2BiP after structural relaxation. The functional is PBE-GGA.

Results
Raw total energy   -3.51 eV/atom
E_form   0.183 eV/atom

abc: 5.067 5.067 5.075
angles: 90.00 90.00 90.00
Space group P4/mmm (No. 123)
One atom of each set of equivalent atoms:
Zr: 0.000 0.000 0.000 x1
Hg: 0.000 0.500 0.500 x2
Bi: 0.500 0.500 0.000 x1
P: 0.000 0.000 0.500 x1



Entry 5:
This record from Alexandria describes Pm3Pu5O12 after structural relaxation. The functional is PBE-GGA.

Results
Raw total energy   -10.24 eV/atom

abc: 13.738 13.738 13.738
angles: 90.00 90.00 90.00
Space group Ia-3d (No. 230)
One atom of each set of equivalent atoms:
Pm: 0.000 0.250 0.125 x24
Pu: 0.000 0.000 0.000 x16
Pu: 0.000 0.250 0.375 x24
O: 0.021 0.067 0.652 x96



Entry 6:
This record from Alexandria describes NaUTl2S4 after structural relaxation. The functional is PBE-GGA.

Results
Raw total energy   -5.19 eV/atom

abc: 7.027 4.072 7.753
angles: 90.00 107.13 90.00
Space group P2/m (No. 10)
One atom of each set of equivalent atoms:
Na: 0.000 0.000 0.000 x1
U: 0.500 0.500 0.000 x1
Tl: 0.000 0.500 0.500 x1
Tl: 0.500 0.000 0.500 x1
S: 0.272 0.500 0.200 x2
S: 0.290 0.000 0.804 x2



Entry 7:
This record from Alexandria describes PmCdBr6 after structural relaxation. The functional is PBE-GGA.

Results
Raw total energy   -3.05 eV/atom

abc: 7.052 7.054 7.438
angles: 89.88 62.11 60.05
Space group P-1 (No. 2)
One atom of each set of equivalent atoms:
Pm: 0.000 0.000 0.000 x1
Cd: 0.000 0.500 0.500 x1
Br: 0.172 0.570 0.750 x2
Br: 0.177 0.745 0.255 x2
Br: 0.492 0.080 0.253 x2



Entry 8:
This record from Alexandria describes HgTe2Au after structural relaxation. The functional is PBE-GGA.

Results
Raw total energy   -2.48 eV/atom

abc: 6.588 4.274 19.115
angles: 90.00 90.00 90.00
Space group Pnma (No. 62)
One atom of each set of equivalent atoms:
Hg: 0.049 0.250 0.105 x4
Te: 0.223 0.250 0.547 x4
Te: 0.237 0.250 0.297 x4
Au: 0.056 0.750 0.354 x4



Entry 9:
This record from Alexandria describes HoCuPdRh after structural relaxation. The functional is PBE-GGA.

Results
Relative energy among the computed polymorphs   84.4 meV/atom
Raw total energy   -5.84 eV/atom
E_form   -0.537 eV/atom

abc: 6.450 6.450 6.450
angles: 90.00 90.00 90.00
Space group F-43m (No. 216)
One atom of each set of equivalent atoms:
Ho: 0.000 0.000 0.000 x4
Cu: 0.000 0.000 0.500 x4
Pd: 0.250 0.250 0.250 x4
Rh: 0.250 0.250 0.750 x4



Entry 10:
This record from Alexandria describes Y6CdIn3 after structural relaxation. The functional is PBE-GGA.

Results
Raw total energy   -5.16 eV/atom
E_form   -0.365 eV/atom

abc: 9.350 5.359 11.696
angles: 90.00 108.28 90.00
Space group P2_1/m (No. 11)
One atom of each set of equivalent atoms:
Y: 0.038 0.250 0.412 x2
Y: 0.160 0.750 0.176 x2
Y: 0.254 0.250 0.001 x2
Y: 0.341 0.750 0.806 x2
Y: 0.365 0.250 0.333 x2
Y: 0.402 0.250 0.622 x2
Cd: 0.455 0.750 0.101 x2
In: 0.031 0.750 0.883 x2
In: 0.125 0.250 0.715 x2
In: 0.277 0.750 0.472 x2



Entry 11:
This record from Alexandria describes AgHg2P after structural relaxation. The functional is PBE-GGA.

Results
Raw total energy   -1.90 eV/atom
E_form   0.313 eV/atom

abc: 2.881 5.011 12.024
angles: 90.00 90.00 90.00
Space group Imm2 (No. 44)
One atom of each set of equivalent atoms:
Ag: 0.000 0.000 0.000 x2
Hg: 0.000 0.000 0.440 x2
Hg: 0.000 0.500 0.256 x2
P: 0.000 0.500 0.683 x2



Entry 12:
This record from Alexandria describes CsMg2Sb2 after structural relaxation. The functional is PBE-GGA.

Results
Relative energy among the computed polymorphs   0.0 meV/atom
Raw total energy   -2.90 eV/atom

abc: 4.957 4.957 13.622
angles: 90.00 90.00 90.00
Space group I4/mmm (No. 139)
One atom of each set of equivalent atoms:
Cs: 0.000 0.000 0.000 x2
Mg: 0.000 0.500 0.250 x4
Sb: 0.000 0.000 0.366 x4